# Ca3SiH

A relaxed structure of Ca3SiH (PBE-GGA, the Alexandria database).

Output
space group	No. 11
energy relative to the lowest polymorph listed for this composition	0	meV per atom

POSCAR file:
```
Ca3SiH
1.0
5.059 0.000 0.000
0.000 6.830 0.000
-2.534 0.000 7.333
Ca Si H
6 2 2
Direct
0.050 0.250 0.101 Ca
0.328 0.010 0.655 Ca
0.328 0.490 0.655 Ca
0.672 0.510 0.345 Ca
0.672 0.990 0.345 Ca
0.950 0.750 0.899 Ca
0.148 0.750 0.298 Si
0.852 0.250 0.702 Si
0.424 0.750 0.845 H
0.576 0.250 0.155 H
```

---

# Ca6Si2H

A relaxed structure of Ca6Si2H (PBE-GGA, the Alexandria database).

Output
space group	No. 14

POSCAR file:
```
Ca6Si2H
1.0
6.605 0.000 0.000
0.000 7.863 0.000
-6.583 0.000 9.521
Ca Si H
12 4 2
Direct
0.114 0.174 0.441 Ca
0.114 0.326 0.941 Ca
0.272 0.675 0.441 Ca
0.272 0.825 0.941 Ca
0.363 0.032 0.249 Ca
0.363 0.468 0.749 Ca
0.637 0.532 0.251 Ca
0.637 0.968 0.751 Ca
0.728 0.175 0.059 Ca
0.728 0.325 0.559 Ca
0.886 0.674 0.059 Ca
0.886 0.826 0.559 Ca
0.207 0.114 0.748 Si
0.207 0.386 0.248 Si
0.793 0.614 0.752 Si
0.793 0.886 0.252 Si
0.500 0.000 0.500 H
0.500 0.500 0.000 H
```

---

# Ca5Si2H2

A relaxed structure of Ca5Si2H2 (PBE-GGA, the Alexandria database).

Output
space group	No. 46

POSCAR file:
```
Ca5Si2H2
1.0
-9.777 3.336 3.231
9.777 -3.336 3.231
9.777 3.336 -3.231
Ca Si H
10 4 4
Direct
0.213 0.407 0.090 Ca
0.213 0.624 0.306 Ca
0.249 0.009 0.258 Ca
0.249 0.491 0.740 Ca
0.318 0.124 0.910 Ca
0.318 0.907 0.694 Ca
0.736 0.580 0.656 Ca
0.751 0.509 0.260 Ca
0.751 0.991 0.742 Ca
0.924 0.080 0.344 Ca
0.735 0.137 0.383 Si
0.735 0.852 0.098 Si
0.754 0.352 0.617 Si
0.754 0.637 0.902 Si
0.112 0.944 0.668 H
0.251 0.251 0.000 H
0.251 0.751 0.500 H
0.276 0.444 0.332 H
```

---

# CaSi2H8

A relaxed structure of CaSi2H8 (PBE-GGA, the Alexandria database).

Output
space group	No. 12

POSCAR file:
```
CaSi2H8
1.0
4.018 -2.230 0.000
4.018 2.230 0.000
-3.679 0.000 5.686
Ca Si H
1 2 8
Direct
0.000 0.000 0.000 Ca
0.460 0.460 0.645 Si
0.540 0.540 0.355 Si
0.134 0.635 0.205 H
0.223 0.223 0.419 H
0.365 0.866 0.795 H
0.378 0.378 0.807 H
0.622 0.622 0.193 H
0.635 0.134 0.205 H
0.777 0.777 0.581 H
0.866 0.365 0.795 H
```

---

# Ca2SiH

A relaxed structure of Ca2SiH (PBE-GGA, the Alexandria database).

Output
space group	No. 225
energy relative to the lowest polymorph listed for this composition	265	meV per atom

POSCAR file:
```
Ca2SiH
1.0
7.006 0.000 0.000
0.000 7.006 0.000
0.000 0.000 7.006
Ca Si H
8 4 4
Direct
0.250 0.250 0.250 Ca
0.250 0.250 0.750 Ca
0.250 0.750 0.250 Ca
0.250 0.750 0.750 Ca
0.750 0.250 0.250 Ca
0.750 0.250 0.750 Ca
0.750 0.750 0.250 Ca
0.750 0.750 0.750 Ca
0.000 0.000 0.000 Si
0.000 0.500 0.500 Si
0.500 0.000 0.500 Si
0.500 0.500 0.000 Si
0.000 0.000 0.500 H
0.000 0.500 0.000 H
0.500 0.000 0.000 H
0.500 0.500 0.500 H
```

---

# Ca2SiH2

A relaxed structure of Ca2SiH2 (PBE-GGA, the Alexandria database).

Output
space group	No. 139

POSCAR file:
```
Ca2SiH2
1.0
3.519 0.000 0.000
0.000 3.519 0.000
0.000 0.000 13.742
Ca Si H
4 2 4
Direct
0.000 0.000 0.151 Ca
0.000 0.000 0.849 Ca
0.500 0.500 0.349 Ca
0.500 0.500 0.651 Ca
0.000 0.000 0.500 Si
0.500 0.500 0.000 Si
0.000 0.500 0.250 H
0.000 0.500 0.750 H
0.500 0.000 0.250 H
0.500 0.000 0.750 H
```

---

# Ca3SiH

A relaxed structure of Ca3SiH (PBE-GGA, the Alexandria database).

Output
space group	No. 221
energy relative to the lowest polymorph listed for this composition	34	meV per atom

POSCAR file:
```
Ca3SiH
1.0
4.783 0.000 0.000
0.000 4.783 0.000
0.000 0.000 4.783
Ca Si H
3 1 1
Direct
0.000 0.000 0.500 Ca
0.000 0.500 0.000 Ca
0.500 0.000 0.000 Ca
0.500 0.500 0.500 Si
0.000 0.000 0.000 H
```

---

# Ca6Si3H

A relaxed structure of Ca6Si3H (PBE-GGA, the Alexandria database).

Output
space group	No. 14

POSCAR file:
```
Ca6Si3H
1.0
6.993 0.000 0.000
0.000 7.813 0.000
-6.651 0.000 9.876
Ca Si H
12 6 2
Direct
0.091 0.041 0.237 Ca
0.091 0.459 0.737 Ca
0.223 0.674 0.068 Ca
0.223 0.826 0.568 Ca
0.388 0.176 0.067 Ca
0.388 0.324 0.567 Ca
0.612 0.676 0.433 Ca
0.612 0.824 0.933 Ca
0.777 0.174 0.432 Ca
0.777 0.326 0.932 Ca
0.909 0.541 0.263 Ca
0.909 0.959 0.763 Ca
0.301 0.119 0.767 Si
0.301 0.381 0.267 Si
0.500 0.000 0.500 Si
0.500 0.500 0.000 Si
0.699 0.619 0.733 Si
0.699 0.881 0.233 Si
0.000 0.000 0.000 H
0.000 0.500 0.500 H
```

---

Values of N(E_F), in order: 0.582, 0.493, 0.128, 0.007, 1.716, 0.178, 0.537, 0.559, all in states/eV per atom.
Values of DFT total energy, in order: -32.8, -58.6, -62.7, -39.5, -53.2, -36.4, -16.2, -69.3, all in eV for the cell shown.
Values of size of the total moment, in order: 0.003, 0.007, 0.000, 0.000, 0.000, 0.000, 0.000, 0.002, all in μB/cell.